A relaxed structure of Pm2Pr5In. Source: Alexandria, functional GGA-PBE.

Cell: 5.063 5.063 20.970 Å, 90.00 90.00 90.00°
Space group I4/mmm (No. 139)
Unique sites:
1 Pm 0.000 0.000 0.248
2 Pr 0.000 0.000 0.000
3 Pr 0.000 0.500 0.121
4 In 0.000 0.000 0.500

Fermi-level density of states = 1.278 states/eV per atom
energy above the most stable polymorph in this dataset = 0.000 eV/f.u.
E_form = -0.922 eV/f.u.
total magnetic moment = 0.00 μB per cell
ρ = 6.85 g cm⁻³

=====

A relaxed structure of Pm3Pr6In. Source: Alexandria, functional GGA-PBE.

Cell: 10.743 20.092 6.452 Å, 90.00 90.00 90.00°
Space group Cmc2_1 (No. 36)
Unique sites:
1 Pm 0.000 0.107 0.000
2 Pm 0.167 0.375 0.679
3 Pr 0.000 0.207 0.429
4 Pr 0.000 0.442 0.184
5 Pr 0.174 0.035 0.531
6 Pr 0.236 0.304 0.211
7 In 0.000 0.264 0.922

Fermi-level density of states = 1.413 states/eV per atom
E_form = -0.122 eV/f.u.
total magnetic moment = 0.00 μB per cell
ρ = 6.65 g cm⁻³

=====

A relaxed structure of Pm3Pr2In2. Source: Alexandria, functional GGA-PBE.

Cell: 5.365 6.549 6.678 Å, 95.71 97.65 98.27°
Space group P-1 (No. 2)
Unique sites:
1 Pm 0.000 0.000 0.000
2 Pm 0.231 0.193 0.540
3 Pr 0.232 0.548 0.192
4 In 0.312 0.728 0.722

Fermi-level density of states = 1.117 states/eV per atom
energy above the most stable polymorph in this dataset = 0.000 eV/f.u.
E_form = -1.270 eV/f.u.
total magnetic moment = 0.00 μB per cell
ρ = 6.88 g cm⁻³

=====

A relaxed structure of Pm7PrIn4. Source: Alexandria, functional GGA-PBE.

Cell: 14.694 5.823 10.772 Å, 90.00 123.60 90.00°
Space group C2/m (No. 12)
Unique sites:
1 Pm 0.000 0.000 0.000
2 Pm 0.063 0.500 0.393
3 Pm 0.206 0.500 0.878
4 Pm 0.217 0.000 0.654
5 Pr 0.000 0.500 0.000
6 In 0.058 0.000 0.756
7 In 0.182 0.000 0.332

Fermi-level density of states = 1.142 states/eV per atom
E_form = -1.713 eV/f.u.
total magnetic moment = 0.20 μB per cell
ρ = 6.99 g cm⁻³

=====

A relaxed structure of Pm12Pr5In2. Source: Alexandria, functional GGA-PBE.

Cell: 15.762 9.424 8.693 Å, 90.00 93.54 90.00°
Space group C2/m (No. 12)
Unique sites:
1 Pm 0.055 0.000 0.326
2 Pm 0.077 0.500 0.885
3 Pm 0.126 0.194 0.674
4 Pm 0.144 0.315 0.237
5 Pr 0.000 0.500 0.500
6 Pr 0.193 0.000 0.015
7 Pr 0.233 0.500 0.578
8 In 0.000 0.175 0.000

Fermi-level density of states = 1.325 states/eV per atom
E_form = -0.459 eV/f.u.
total magnetic moment = 0.00 μB per cell
ρ = 6.89 g cm⁻³

=====

A relaxed structure of Pm3PrIn. Source: Alexandria, functional GGA-PBE.

Cell: 4.947 25.914 4.933 Å, 90.00 90.00 90.00°
Space group Cmcm (No. 63)
Unique sites:
1 Pm 0.000 0.052 0.250
2 Pm 0.000 0.250 0.250
3 Pm 0.000 0.447 0.250
4 Pr 0.000 0.151 0.750
5 In 0.000 0.347 0.750

Fermi-level density of states = 1.476 states/eV per atom
energy above the most stable polymorph in this dataset = 0.000 eV/f.u.
E_form = -0.939 eV/f.u.
total magnetic moment = 0.00 μB per cell
ρ = 7.26 g cm⁻³

=====

A relaxed structure of PmPr6In3. Source: Alexandria, functional GGA-PBE.

Cell: 10.879 15.795 7.954 Å, 90.00 90.00 90.00°
Space group Cmc2_1 (No. 36)
Unique sites:
1 Pm 0.000 0.213 0.000
2 Pr 0.000 0.049 0.294
3 Pr 0.000 0.304 0.458
4 Pr 0.235 0.311 0.798
5 Pr 0.235 0.466 0.485
6 In 0.000 0.446 0.773
7 In 0.140 0.134 0.658

Fermi-level density of states = 1.254 states/eV per atom
energy above the most stable polymorph in this dataset = 0.973 eV/f.u.
E_form = -1.577 eV/f.u.
total magnetic moment = 0.00 μB per cell
ρ = 6.49 g cm⁻³

=====

A relaxed structure of Pm2Pr5In4. Source: Alexandria, functional GGA-PBE.

Cell: 3.827 8.987 21.711 Å, 90.00 90.00 90.00°
Space group Immm (No. 71)
Unique sites:
1 Pm 0.000 0.000 0.081
2 Pr 0.000 0.211 0.344
3 Pr 0.000 0.500 0.000
4 In 0.000 0.000 0.222
5 In 0.000 0.281 0.500

Fermi-level density of states = 1.087 states/eV per atom
energy above the most stable polymorph in this dataset = 1.375 eV/f.u.
E_form = -1.918 eV/f.u.
total magnetic moment = 0.00 μB per cell
ρ = 6.47 g cm⁻³

=====

A relaxed structure of PmPr3In4. Source: Alexandria, functional GGA-PBE.

Cell: 3.890 3.890 15.576 Å, 90.00 90.00 90.00°
Space group P4/mmm (No. 123)
Unique sites:
1 Pm 0.000 0.000 0.000
2 Pr 0.000 0.000 0.248
3 Pr 0.000 0.000 0.500
4 In 0.500 0.500 0.121
5 In 0.500 0.500 0.374

Fermi-level density of states = 0.630 states/eV per atom
energy above the most stable polymorph in this dataset = 0.000 eV/f.u.
E_form = -3.965 eV/f.u.
total magnetic moment = 0.00 μB per cell
ρ = 7.24 g cm⁻³

=====

A relaxed structure of Pm4Pr3In2. Source: Alexandria, functional GGA-PBE.

Cell: 12.824 5.484 8.710 Å, 90.00 104.84 90.00°
Space group C2/m (No. 12)
Unique sites:
1 Pm 0.124 0.000 0.156
2 Pm 0.171 0.500 0.463
3 Pr 0.000 0.000 0.500
4 Pr 0.075 0.500 0.848
5 In 0.213 0.000 0.820

Fermi-level density of states = 1.168 states/eV per atom
E_form = -1.695 eV/f.u.
total magnetic moment = 0.00 μB per cell
ρ = 6.91 g cm⁻³

=====

A relaxed structure of Pm5Pr4In. Source: Alexandria, functional GGA-PBE.

Cell: 4.277 4.277 18.393 Å, 90.00 90.00 90.00°
Space group P4/mmm (No. 123)
Unique sites:
1 Pm 0.000 0.000 0.000
2 Pm 0.000 0.000 0.208
3 Pm 0.000 0.000 0.413
4 Pr 0.500 0.500 0.102
5 Pr 0.500 0.500 0.304
6 In 0.500 0.500 0.500

Fermi-level density of states = 1.682 states/eV per atom
energy above the most stable polymorph in this dataset = 0.000 eV/f.u.
E_form = -0.060 eV/f.u.
total magnetic moment = 0.00 μB per cell
ρ = 6.93 g cm⁻³

=====

A relaxed structure of PmPr4In. Source: Alexandria, functional GGA-PBE.

Cell: 11.779 11.779 6.915 Å, 90.00 90.00 90.00°
Space group I4_1md (No. 109)
Unique sites:
1 Pm 0.000 0.000 0.000
2 Pr 0.000 0.260 0.549
3 Pr 0.000 0.268 0.041
4 In 0.000 0.000 0.507

Fermi-level density of states = 1.771 states/eV per atom
energy above the most stable polymorph in this dataset = 2.538 eV/f.u.
E_form = 2.078 eV/f.u.
total magnetic moment = 0.00 μB per cell
ρ = 5.70 g cm⁻³

=====

A relaxed structure of PmPr12In3. Source: Alexandria, functional GGA-PBE.

Cell: 5.043 5.043 20.608 Å, 90.00 90.00 90.00°
Space group P4/mmm (No. 123)
Unique sites:
1 Pm 0.000 0.000 0.000
2 Pr 0.000 0.500 0.132
3 Pr 0.000 0.500 0.378
4 Pr 0.500 0.500 0.000
5 Pr 0.500 0.500 0.256
6 Pr 0.500 0.500 0.500
7 In 0.000 0.000 0.256
8 In 0.000 0.000 0.500

Fermi-level density of states = 1.438 states/eV per atom
E_form = -3.152 eV/f.u.
total magnetic moment = 0.00 μB per cell
ρ = 6.91 g cm⁻³

=====

A relaxed structure of Pm2Pr2In3. Source: Alexandria, functional GGA-PBE.

Cell: 4.568 25.222 3.613 Å, 90.00 90.00 90.00°
Space group Cmmm (No. 65)
Unique sites:
1 Pm 0.000 0.068 0.000
2 Pr 0.000 0.201 0.000
3 In 0.000 0.363 0.500
4 In 0.000 0.500 0.500

Fermi-level density of states = 0.981 states/eV per atom
energy above the most stable polymorph in this dataset = 0.143 eV/f.u.
E_form = -2.434 eV/f.u.
total magnetic moment = 0.00 μB per cell
ρ = 7.31 g cm⁻³

=====

A relaxed structure of Pm3PrIn. Source: Alexandria, functional GGA-PBE.

Cell: 9.5948 9.5948 12.5458 Å, 90.00 90.00 120.00°
Space group R-3c (No. 167, hexagonal axes)
Unique sites:
1 Pm 0.9996 0.3333 0.0833
2 Pr 0.0000 0.0000 0.0000
3 In 0.0000 0.0000 0.2500

Fermi-level density of states = 1.529 states/eV per atom
energy above the most stable polymorph in this dataset = 0.778 eV/f.u.
E_form = -0.162 eV/f.u.
total magnetic moment = 0.01 μB per cell
ρ = 6.88 g cm⁻³

=====

A relaxed structure of Pm5Pr4In. Source: Alexandria, functional GGA-PBE.

Cell: 10.840 10.840 6.052 Å, 90.00 90.00 90.00°
Space group I4mm (No. 107)
Unique sites:
1 Pm 0.000 0.000 0.000
2 Pm 0.186 0.186 0.288
3 Pr 0.000 0.310 0.794
4 In 0.000 0.000 0.519

Fermi-level density of states = 1.375 states/eV per atom
energy above the most stable polymorph in this dataset = 0.786 eV/f.u.
E_form = 0.726 eV/f.u.
total magnetic moment = 0.00 μB per cell
ρ = 6.55 g cm⁻³

=====

A relaxed structure of Pm6Pr2In. Source: Alexandria, functional GGA-PBE.

Cell: 6.768 9.307 11.013 Å, 112.92 105.19 95.99°
Space group P-1 (No. 2)
Unique sites:
1 Pm 0.024 0.307 0.438
2 Pm 0.061 0.310 0.120
3 Pm 0.278 0.028 0.555
4 Pm 0.284 0.024 0.891
5 Pm 0.394 0.635 0.109
6 Pm 0.414 0.631 0.438
7 Pr 0.050 0.314 0.768
8 Pr 0.282 0.046 0.232
9 In 0.392 0.642 0.785

Fermi-level density of states = 1.342 states/eV per atom
energy above the most stable polymorph in this dataset = 0.000 eV/f.u.
E_form = -0.745 eV/f.u.
total magnetic moment = 0.00 μB per cell
ρ = 7.01 g cm⁻³

=====

A relaxed structure of PmPr3In3. Source: Alexandria, functional GGA-PBE.

Cell: 9.7413 9.7413 5.2651 Å, 90.00 90.00 120.00°
Space group P6_3/m (No. 176)
Unique sites:
1 Pm 0.3333 0.6667 0.2500
2 Pr 0.0012 0.7610 0.7500
3 In 0.0700 0.4576 0.7500

Fermi-level density of states = 0.969 states/eV per atom
energy above the most stable polymorph in this dataset = 0.064 eV/f.u.
E_form = -2.332 eV/f.u.
total magnetic moment = 0.00 μB per cell
ρ = 7.00 g cm⁻³

=====

A relaxed structure of Pm2Pr3In. Source: Alexandria, functional GGA-PBE.

Cell: 9.039 3.777 11.719 Å, 90.00 90.09 90.00°
Space group P2_1/m (No. 11)
Unique sites:
1 Pm 0.089 0.250 0.394
2 Pm 0.355 0.750 0.928
3 Pr 0.095 0.250 0.103
4 Pr 0.349 0.750 0.572
5 Pr 0.397 0.750 0.250
6 In 0.157 0.250 0.754

Fermi-level density of states = 1.233 states/eV per atom
energy above the most stable polymorph in this dataset = 0.119 eV/f.u.
E_form = -0.798 eV/f.u.
total magnetic moment = 0.00 μB per cell
ρ = 6.87 g cm⁻³

=====

A relaxed structure of Pm5PrIn8. Source: Alexandria, functional GGA-PBE.

Cell: 9.376 9.376 9.438 Å, 90.00 90.00 90.00°
Space group I-4 (No. 82)
Unique sites:
1 Pm 0.000 0.000 0.000
2 Pm 0.128 0.751 0.377
3 Pr 0.000 0.500 0.750
4 In 0.085 0.664 0.045
5 In 0.085 0.838 0.709

Fermi-level density of states = 0.949 states/eV per atom
E_form = -5.360 eV/f.u.
total magnetic moment = 0.00 μB per cell
ρ = 7.14 g cm⁻³